The following is a meta-GGA SCAN calculation of a PBEsol-optimized structure of CuGeAs2Ir, from Alexandria via LeMat-Bulk.

Structure (POSCAR):
```
CuGeAs2Ir
1.0
4.6606 0.0000 0.0000
0.0000 4.6606 0.0000
0.0000 0.0000 4.7646
Cu Ge As Ir
1 1 2 1
Cartesian
0.0000 0.0000 0.0000
2.3303 2.3303 0.0000
0.0000 2.3303 2.3823
2.3303 0.0000 2.3823
0.0000 0.0000 2.3823
```

Output
N(E_F)   3.3 states/eV/f.u.
V   20.7 Å³/atom
Energy   -28.496 eV per atom
Energy relative to the elements   0.657 eV per atom
Total moment   0.0000 μB per atom

***

The following is a meta-GGA SCAN calculation of a PBEsol-optimized structure of BaTiAs2, from Alexandria via LeMat-Bulk.

Structure (POSCAR):
```
BaTiAs2
1.0
-3.6861 3.6861 4.2229
3.6861 -3.6861 4.2229
3.6861 3.6861 -4.2229
Ba Ti As
2 2 4
Cartesian
0.0000 0.0000 0.0000
0.0000 3.6861 2.1115
3.6861 0.0000 2.1115
0.0000 0.0000 4.2229
1.8430 -1.2123 3.1672
2.4738 1.8430 1.0557
1.8430 4.8984 -1.0557
1.2123 1.8430 5.2787
```

Output
V   28.7 Å³/atom
Energy   -24.908 eV per atom
Energy relative to the elements   -0.918 eV per atom
Total moment   0.0000 μB per atom

***

The following is a meta-GGA SCAN calculation of a PBEsol-optimized structure of FeHgP3, from Alexandria via LeMat-Bulk.

Structure (POSCAR):
```
FeHgP3
1.0
4.3691 0.0000 0.0000
0.0000 4.3691 0.0000
0.0000 0.0000 4.3691
Fe Hg P
1 1 3
Cartesian
0.0000 0.0000 0.0000
2.1846 2.1846 2.1846
0.0000 0.0000 2.1846
0.0000 2.1846 0.0000
2.1846 0.0000 0.0000
```

Output
N(E_F)   2.7 states/eV/f.u.
V   16.7 Å³/atom
Energy   -22.824 eV per atom
Energy relative to the elements   0.675 eV per atom
Total moment   0.0000 μB per atom

***

The following is a meta-GGA SCAN calculation of a PBEsol-optimized structure of LaTl3, from Alexandria via LeMat-Bulk.

Structure (POSCAR):
```
LaTl3
1.0
5.4017 3.1187 1.1174
-5.4017 3.1187 1.1174
0.0000 -6.2374 1.1174
La Tl
1 3
Cartesian
0.0000 0.0000 0.0000
-2.7009 -1.5593 1.1174
-2.7008 1.5593 2.2348
0.0000 3.1187 1.1174
```

Output
N(E_F)   2.0 states/eV/f.u.
V   28.2 Å³/atom
Energy   -65.326 eV per atom
Energy relative to the elements   -0.281 eV per atom
Total moment   0.0421 μB per atom

***

The following is a meta-GGA SCAN calculation of a PBEsol-optimized structure of WN2F2, from Alexandria via LeMat-Bulk.

Structure (POSCAR):
```
WN2F2
1.0
4.0355 0.0000 0.0000
0.0000 4.0355 0.0000
0.0000 0.0000 3.8240
W N F
1 2 2
Cartesian
0.0000 0.0000 0.0000
0.0000 0.0000 1.9120
2.0178 2.0178 1.9120
0.0000 2.0178 0.0000
2.0178 0.0000 0.0000
```

Output
N(E_F)   0.9 states/eV/f.u.
V   12.5 Å³/atom
Energy relative to the elements, uncorrected   -66 kJ/mol of formula units
Energy   -19.208 eV per atom
Total moment   0.4215 μB per atom

***

The following is a meta-GGA SCAN calculation of a PBEsol-optimized structure of Co2TcMo, from Alexandria via LeMat-Bulk.

Structure (POSCAR):
```
Co2TcMo
1.0
3.6432 0.0000 0.0000
0.0000 3.6432 0.0000
0.0000 0.0000 3.6633
Co Tc Mo
2 1 1
Cartesian
0.0000 1.8216 0.0000
1.8216 0.0000 0.0000
0.0000 0.0000 1.8316
1.8216 1.8216 1.8316
```

Output
N(E_F)   2.4 states/eV/f.u.
Energy above the most stable polymorph in this dataset   0.0405 eV/atom
V   12.2 Å³/atom
Energy   -25.995 eV per atom
Energy relative to the elements   0.143 eV per atom
Total moment   0.1544 μB per atom

***

The following is a meta-GGA SCAN calculation of a PBEsol-optimized structure of Tl2TeI6, from Alexandria via LeMat-Bulk.

Structure (POSCAR):
```
Tl2TeI6
1.0
7.6105 0.0000 0.0000
0.0000 8.2944 0.0000
-7.4744 0.0000 11.0246
Tl Te I
4 2 12
Cartesian
-0.2215 0.8256 2.7242
-3.9587 3.3216 8.2364
4.0948 4.9728 2.7881
0.3576 7.4688 8.3004
3.8053 0.0000 0.0000
0.0681 4.1472 5.5123
-6.1006 1.5880 10.5241
-2.3634 2.5592 5.0118
-5.1114 5.7616 10.5859
-1.3742 6.6801 5.0736
-3.0017 0.0444 8.1637
0.7355 4.1028 2.6514
-0.5994 4.1916 8.3732
3.1378 8.2500 2.8609
1.5103 1.6144 5.9509
5.2475 2.5329 0.4387
2.4995 5.7353 6.0128
6.2367 6.7064 0.5005
```

Output
N(E_F)   0.0 states/eV/f.u.
V   38.7 Å³/atom
Energy relative to the elements, uncorrected   -334 kJ/mol of formula units
Energy   -45.098 eV per atom
Total moment   0.0000 μB per atom

***

The following is a meta-GGA SCAN calculation of a PBEsol-optimized structure of Ni2BrN, from Alexandria via LeMat-Bulk.

Structure (POSCAR):
```
Ni2BrN
1.0
0.0000 2.8119 2.8119
2.8119 0.0000 2.8119
2.8119 2.8119 0.0000
Ni Br N
2 1 1
Cartesian
1.4060 1.4060 1.4060
4.2179 4.2179 4.2179
0.0000 0.0000 0.0000
2.8119 2.8119 2.8119
```

Output
N(E_F)   1.8 states/eV/f.u.
V   11.1 Å³/atom
Energy relative to the elements, uncorrected   478 kJ/mol of formula units
Energy   -14.037 eV per atom
Total moment   0.0000 μB per atom

***

- Among the records above, which one has the highest energy?
  Ni2BrN

***

- total moment of number 8 (Ni2BrN)?
  0.0000 μB per atom

***

- The lowest V belongs to which entry?
  Ni2BrN